# 1
First-principles (GGA-PBE) data for an optimized crystal structure of Sm3Tl2Zn2, as listed in the Alexandria database.

Results
Energy of formation from the pure elements, eV per atom: -0.354
Space group: Cmmm (65)

abc: 11.189 11.189 3.653
angles: 90.00 90.00 157.00
Element x y z (fractional)
Sm 0.000 0.000 0.000
Sm 0.166 0.834 0.000
Sm 0.834 0.166 0.000
Tl 0.417 0.583 0.500
Tl 0.583 0.417 0.500
Zn 0.280 0.720 0.500
Zn 0.720 0.280 0.500

# 2
First-principles (GGA-PBE) data for an optimized crystal structure of YHoCdSn, as listed in the Alexandria database.

Results
Energy of formation from the pure elements, eV per atom: -0.502
Space group: F-43m (216)

abc: 5.278 5.278 5.278
angles: 60.00 60.00 60.00
Element x y z (fractional)
Y 0.000 0.000 0.000
Ho 0.500 0.500 0.500
Cd 0.750 0.750 0.750
Sn 0.250 0.250 0.250

# 3
First-principles (GGA-PBE) data for an optimized crystal structure of Na2Tl5Pb4, as listed in the Alexandria database.

Results
Polymorph energy (0 for the lowest one), eV/atom: 0.000
Energy of formation from the pure elements, eV per atom: -0.029
Space group: C2/m (12)

abc: 12.048 12.048 8.339
angles: 94.54 94.54 16.27
Element x y z (fractional)
Na 0.087 0.087 0.199
Na 0.913 0.913 0.801
Tl 0.000 0.000 0.500
Tl 0.316 0.316 0.032
Tl 0.367 0.367 0.441
Tl 0.633 0.633 0.559
Tl 0.684 0.684 0.968
Pb 0.227 0.227 0.324
Pb 0.457 0.457 0.147
Pb 0.543 0.543 0.853
Pb 0.773 0.773 0.676

# 4
First-principles (GGA-PBE) data for an optimized crystal structure of NdTm3In, as listed in the Alexandria database.

Results
Polymorph energy (0 for the lowest one), eV/atom: 0.000
Energy of formation from the pure elements, eV per atom: -0.166
Space group: Cmcm (63)

abc: 12.782 12.782 4.810
angles: 90.00 90.00 158.21
Element x y z (fractional)
Nd 0.148 0.852 0.750
Nd 0.852 0.148 0.250
Tm 0.047 0.953 0.250
Tm 0.250 0.750 0.250
Tm 0.449 0.551 0.250
Tm 0.551 0.449 0.750
Tm 0.750 0.250 0.750
Tm 0.953 0.047 0.750
In 0.346 0.654 0.750
In 0.654 0.346 0.250

# 5
First-principles (GGA-PBE) data for an optimized crystal structure of Ca3AcPa3N8, as listed in the Alexandria database.

Results
Formation energy (no corrections), eV per atom: -1.21
Space group: R-3m (166)

abc: 7.073 7.073 7.073
angles: 62.09 62.09 62.09
Element x y z (fractional)
Ca 0.000 0.500 0.500
Ca 0.500 0.000 0.500
Ca 0.500 0.500 0.000
Ac 0.500 0.500 0.500
Pa 0.000 0.000 0.500
Pa 0.000 0.500 0.000
Pa 0.500 0.000 0.000
N 0.203 0.743 0.743
N 0.246 0.246 0.246
N 0.257 0.257 0.797
N 0.257 0.797 0.257
N 0.743 0.203 0.743
N 0.743 0.743 0.203
N 0.754 0.754 0.754
N 0.797 0.257 0.257

# 6
First-principles (GGA-PBE) data for an optimized crystal structure of Cs8Na2I, as listed in the Alexandria database.

Results
Formation energy (no corrections), eV per atom: -0.25
Space group: C2/m (12)

abc: 13.317 13.317 13.150
angles: 96.30 96.30 25.55
Element x y z (fractional)
Cs 0.003 0.003 0.198
Cs 0.211 0.211 0.338
Cs 0.344 0.344 0.995
Cs 0.404 0.404 0.456
Cs 0.596 0.596 0.544
Cs 0.656 0.656 0.005
Cs 0.789 0.789 0.662
Cs 0.997 0.997 0.802
Na 0.177 0.177 0.763
Na 0.823 0.823 0.237
I 0.500 0.500 0.000

# 7
First-principles (GGA-PBE) data for an optimized crystal structure of SmTm4Te2, as listed in the Alexandria database.

Results
Formation energy (no corrections), eV per atom: -0.45
Space group: R-3m (166)

abc: 9.371 9.371 9.371
angles: 33.46 33.46 33.46
Element x y z (fractional)
Sm 0.000 0.000 0.000
Tm 0.236 0.236 0.236
Tm 0.366 0.366 0.366
Tm 0.634 0.634 0.634
Tm 0.764 0.764 0.764
Te 0.119 0.119 0.119
Te 0.881 0.881 0.881

Number 1: DOS at the Fermi energy 7.1 states/eV/f.u.. Number 2: DOS at the Fermi energy 2.6 states/eV/f.u.. Number 3: DOS at the Fermi energy 5.9 states/eV/f.u.. Number 4: DOS at the Fermi energy 6.7 states/eV/f.u.. Number 5: DOS at the Fermi energy 0.0 states/eV/f.u.. Number 6: DOS at the Fermi energy 8.4 states/eV/f.u.. Number 7: DOS at the Fermi energy 5.2 states/eV/f.u..